{"formula": "In3GaPb2", "functional": "GGA-PBE", "state": "relaxed", "formation_enthalpy_0k_ev_per_atom": 0.038, "m_tot_mub_per_cell": 0.0, "cell": [[2.152, -7.679, 0.000], [2.152, 7.679, 0.000], [0.000, 0.000, 10.004]], "species": ["In", "In", "In", "In", "In", "In", "Ga", "Ga", "Pb", "Pb", "Pb", "Pb"], "frac_coords": [[0.000, 0.000, 0.247], [0.000, 0.000, 0.753], [0.331, 0.669, 0.230], [0.331, 0.669, 0.770], [0.669, 0.331, 0.230], [0.669, 0.331, 0.770], [0.176, 0.824, 0.000], [0.824, 0.176, 0.000], [0.168, 0.832, 0.500], [0.500, 0.500, 0.000], [0.500, 0.500, 0.500], [0.832, 0.168, 0.500]]}



{"formula": "HgRu", "functional": "GGA-PBE", "state": "relaxed", "formation_enthalpy_0k_ev_per_atom": 0.753, "m_tot_mub_per_cell": 2.3, "cell": [[0.000, 3.280, 3.280], [3.280, 0.000, 3.280], [3.280, 3.280, 0.000]], "species": ["Hg", "Hg", "Ru", "Ru"], "frac_coords": [[0.125, 0.125, 0.125], [0.875, 0.875, 0.875], [0.375, 0.375, 0.375], [0.625, 0.625, 0.625]]}



{"formula": "Ho3ErSc2", "functional": "GGA-PBE", "state": "relaxed", "relative_energy_mev_per_atom": 154, "formation_enthalpy_0k_ev_per_atom": 0.302, "m_tot_mub_per_cell": 0.0, "cell": [[7.139, -4.814, 0.000], [7.139, 4.814, 0.000], [0.000, 0.000, 5.409]], "species": ["Ho", "Ho", "Ho", "Ho", "Ho", "Ho", "Er", "Er", "Sc", "Sc", "Sc", "Sc"], "frac_coords": [[0.094, 0.906, 0.750], [0.112, 0.376, 0.250], [0.376, 0.112, 0.750], [0.624, 0.888, 0.250], [0.888, 0.624, 0.750], [0.906, 0.094, 0.250], [0.279, 0.721, 0.250], [0.721, 0.279, 0.750], [0.299, 0.489, 0.750], [0.489, 0.299, 0.250], [0.511, 0.701, 0.750], [0.701, 0.511, 0.250]]}



{"formula": "Pu2HAu", "functional": "GGA-PBE", "state": "relaxed", "relative_energy_mev_per_atom": 122, "m_tot_mub_per_cell": 12.0, "cell": [[3.128, 0.000, 0.000], [0.000, 3.128, 0.000], [0.000, 0.000, 7.597]], "species": ["Pu", "Pu", "H", "Au"], "frac_coords": [[0.000, 0.000, 0.206], [0.000, 0.000, 0.794], [0.500, 0.500, 0.000], [0.500, 0.500, 0.500]]}



What is the formula in the second record?
HgRu